Record 1
VASP calculation (GGA-PBE) on a relaxed structure of HfBiIrPd2.

Properties
The density of states at the Fermi level comes out at 6.58 states/eV/f.u. Its formation enthalpy at 0 K is 1.42 eV/atom. As for the energy: -5.20 eV per atom.

Cell and atoms, written as CIF:
```
data_HfBiIrPd2
_symmetry_space_group_name_H-M 'P 4/m m m'
_symmetry_Int_Tables_number 123
_symmetry_space_group_name_Hall '-P 4 2'
_cell_length_a 4.855
_cell_length_b 4.855
_cell_length_c 5.439
_cell_angle_alpha 90.00
_cell_angle_beta 90.00
_cell_angle_gamma 90.00
loop_
_atom_site_label
_atom_site_fract_x
_atom_site_fract_y
_atom_site_fract_z
Hf1 0.000 0.000 0.000
Bi1 0.000 0.000 0.500
Ir1 0.500 0.500 0.000
Pd1 0.000 0.500 0.500
```

***

Record 2
VASP calculation (GGA-PBE) on a relaxed structure of HfReBi2Ir.

Properties
The density of states at the Fermi level comes out at 4.60 states/eV/f.u. Its formation enthalpy at 0 K is 1.94 eV/atom. As for the energy: -5.86 eV per atom.

Cell and atoms, written as CIF:
```
data_HfReBi2Ir
_symmetry_space_group_name_H-M 'P 4/m m m'
_symmetry_Int_Tables_number 123
_symmetry_space_group_name_Hall '-P 4 2'
_cell_length_a 5.437
_cell_length_b 5.437
_cell_length_c 4.718
_cell_angle_alpha 90.00
_cell_angle_beta 90.00
_cell_angle_gamma 90.00
loop_
_atom_site_label
_atom_site_fract_x
_atom_site_fract_y
_atom_site_fract_z
Hf1 0.000 0.000 0.000
Re1 0.000 0.000 0.500
Bi1 0.000 0.500 0.000
Ir1 0.500 0.500 0.500
```

***

Record 3
VASP calculation (GGA-PBE) on a relaxed structure of HfSiBiIr2.

Properties
The formation energy from raw total energies comes out at 1.904 eV/atom. The density of states at the Fermi level comes out at 7.56 states/eV/f.u. As for the energy: -5.49 eV per atom.

Cell and atoms, written as CIF:
```
data_HfSiBiIr2
_symmetry_space_group_name_H-M 'P 4/m m m'
_symmetry_Int_Tables_number 123
_symmetry_space_group_name_Hall '-P 4 2'
_cell_length_a 4.939
_cell_length_b 4.939
_cell_length_c 5.376
_cell_angle_alpha 90.00
_cell_angle_beta 90.00
_cell_angle_gamma 90.00
loop_
_atom_site_label
_atom_site_fract_x
_atom_site_fract_y
_atom_site_fract_z
Hf1 0.000 0.000 0.000
Si1 0.500 0.500 0.000
Bi1 0.000 0.000 0.500
Ir1 0.000 0.500 0.500
```

***

Record 4
VASP calculation (GGA-PBE) on a relaxed structure of HfTcBi2Ir.

Properties
The density of states at the Fermi level comes out at 7.43 states/eV/f.u. Its formation enthalpy at 0 K is 1.07 eV/atom. As for the energy: -6.32 eV per atom.

Cell and atoms, written as CIF:
```
data_HfTcBi2Ir
_symmetry_space_group_name_H-M 'P 4/m m m'
_symmetry_Int_Tables_number 123
_symmetry_space_group_name_Hall '-P 4 2'
_cell_length_a 5.196
_cell_length_b 5.196
_cell_length_c 4.764
_cell_angle_alpha 90.00
_cell_angle_beta 90.00
_cell_angle_gamma 90.00
loop_
_atom_site_label
_atom_site_fract_x
_atom_site_fract_y
_atom_site_fract_z
Hf1 0.000 0.000 0.000
Tc1 0.500 0.500 0.500
Bi1 0.000 0.500 0.500
Ir1 0.500 0.500 0.000
```

***

Record 5
VASP calculation (GGA-PBE) on a relaxed structure of HfBi2TeIr.

Properties
The formation energy from raw total energies comes out at 0.387 eV/atom. The density of states at the Fermi level comes out at 3.23 states/eV/f.u. As for the energy: -5.56 eV per atom.

Cell and atoms, written as CIF:
```
data_HfBi2TeIr
_symmetry_space_group_name_H-M 'P 4/m m m'
_symmetry_Int_Tables_number 123
_symmetry_space_group_name_Hall '-P 4 2'
_cell_length_a 5.394
_cell_length_b 5.394
_cell_length_c 5.115
_cell_angle_alpha 90.00
_cell_angle_beta 90.00
_cell_angle_gamma 90.00
loop_
_atom_site_label
_atom_site_fract_x
_atom_site_fract_y
_atom_site_fract_z
Hf1 0.000 0.000 0.000
Bi1 0.000 0.500 0.500
Te1 0.500 0.500 0.000
Ir1 0.000 0.000 0.500
```

***

Record 6
VASP calculation (GGA-PBE) on a relaxed structure of HfZnBiIr2.

Properties
The density of states at the Fermi level comes out at 4.28 states/eV/f.u. Its formation enthalpy at 0 K is 0.78 eV/atom. As for the energy: -5.79 eV per atom.

Cell and atoms, written as CIF:
```
data_HfZnBiIr2
_symmetry_space_group_name_H-M 'P 4/m m m'
_symmetry_Int_Tables_number 123
_symmetry_space_group_name_Hall '-P 4 2'
_cell_length_a 4.613
_cell_length_b 4.613
_cell_length_c 4.889
_cell_angle_alpha 90.00
_cell_angle_beta 90.00
_cell_angle_gamma 90.00
loop_
_atom_site_label
_atom_site_fract_x
_atom_site_fract_y
_atom_site_fract_z
Hf1 0.000 0.000 0.000
Zn1 0.000 0.000 0.500
Bi1 0.500 0.500 0.000
Ir1 0.000 0.500 0.500
```

***

Record 7
VASP calculation (GGA-PBE) on a relaxed structure of KHf2Bi.

Properties
The density of states at the Fermi level comes out at 6.13 states/eV/f.u. Its formation enthalpy at 0 K is 0.84 eV/atom. As for the energy: -5.38 eV per atom.

Cell and atoms, written as CIF:
```
data_KHf2Bi
_symmetry_space_group_name_H-M 'I -4 2 d'
_symmetry_Int_Tables_number 122
_symmetry_space_group_name_Hall 'I -4 2bw'
_cell_length_a 4.931
_cell_length_b 4.931
_cell_length_c 21.702
_cell_angle_alpha 90.00
_cell_angle_beta 90.00
_cell_angle_gamma 90.00
loop_
_atom_site_label
_atom_site_fract_x
_atom_site_fract_y
_atom_site_fract_z
K1 0.000 0.000 0.000
Hf1 0.124 0.250 0.625
Bi1 0.000 0.000 0.500
```

***

Record 8
VASP calculation (GGA-PBE) on a relaxed structure of KHf3Bi.

Properties
The energy above the most stable polymorph in this dataset comes out at 0.6391 eV per atom. The density of states at the Fermi level comes out at 8.93 states/eV/f.u. Its formation enthalpy at 0 K is 2.02 eV/atom. As for the energy: -4.94 eV per atom.

Cell and atoms, written as CIF:
```
data_KHf3Bi
_symmetry_space_group_name_H-M 'P m -3 m'
_symmetry_Int_Tables_number 221
_symmetry_space_group_name_Hall '-P 4 2 3'
_cell_length_a 5.053
_cell_length_b 5.053
_cell_length_c 5.053
_cell_angle_alpha 90.00
_cell_angle_beta 90.00
_cell_angle_gamma 90.00
loop_
_atom_site_label
_atom_site_fract_x
_atom_site_fract_y
_atom_site_fract_z
K1 0.000 0.000 0.000
Hf1 0.000 0.000 0.500
Bi1 0.500 0.500 0.500
```

***

The highest energy belongs to which entry?
KHf3Bi

***

Among the records above, which one has the lowest density of states at the Fermi level?
HfBi2TeIr